Record 1
{
  "formula": "TlSiP",
  "functional": "PBE",
  "state": "optimized geometry",
  "lattice": [[6.3805, -0.0542, 0.0302], [4.6397, 4.3320, 0.0149], [-5.5000, -2.1406, 2.3369]],
  "species": ["P", "Si", "Tl"],
  "fractional_positions": [[0.7362, 0.8981, 0.8381], [0.2732, 0.4370, 0.8361], [0.9906, 0.6649, 0.3258]],
  "crystal_system": "monoclinic",
  "de_polymorph_ev_per_atom": 0.161,
  "e_form_raw_kcal_per_mol_atoms": 4.994
}

---

Record 2
{
  "formula": "La2BeSi3Pt12",
  "functional": "PBE",
  "state": "optimized geometry",
  "lattice": [[8.0408, 0.1886, 0.1337], [4.1349, 6.8987, 0.1337], [4.1349, 2.4069, 6.4666]],
  "species": ["La", "La", "Be", "Si", "Si", "Si", "Pt", "Pt", "Pt", "Pt", "Pt", "Pt", "Pt", "Pt", "Pt", "Pt", "Pt", "Pt"],
  "fractional_positions": [[0.6443, 0.6443, 0.6443], [0.3557, 0.3557, 0.3557], [0.0000, 0.0000, 0.0000], [0.5000, 0.0000, 0.0000], [0.0000, 0.5000, 0.0000], [0.0000, 0.0000, 0.5000], [0.3707, 0.3707, 0.8753], [0.9021, 0.9021, 0.3439], [0.3439, 0.9021, 0.9021], [0.8753, 0.3707, 0.3707], [0.9021, 0.3439, 0.9021], [0.3707, 0.8753, 0.3707], [0.6293, 0.6293, 0.1247], [0.0979, 0.0979, 0.6561], [0.6561, 0.0979, 0.0979], [0.1247, 0.6293, 0.6293], [0.0979, 0.6561, 0.0979], [0.6293, 0.1247, 0.6293]],
  "crystal_system": "trigonal",
  "e_form_raw_kcal_per_mol_atoms": -14.263
}

---

Record 3
{
  "formula": "Pu8Tc5Ir",
  "functional": "PBE",
  "state": "optimized geometry",
  "lattice": [[7.2486, 0.0470, -0.0808], [-2.4084, 6.8369, 0.0808], [-2.4317, -3.4338, 5.9031]],
  "species": ["Pu", "Pu", "Pu", "Pu", "Pu", "Pu", "Pu", "Pu", "Tc", "Tc", "Tc", "Tc", "Tc", "Ir"],
  "fractional_positions": [[0.1376, 0.7662, 0.0201], [0.9799, 0.1175, 0.7461], [0.7581, 0.2430, 0.3604], [0.6396, 0.3977, 0.8826], [0.4849, 0.6023, 0.2419], [0.6286, 0.8825, 0.8624], [0.2539, 0.2338, 0.3714], [0.1174, 0.7570, 0.5151], [0.0247, 0.3982, 0.1488], [0.8512, 0.8760, 0.2494], [0.7506, 0.6018, 0.6266], [0.5000, 0.0000, 0.5000], [0.3734, 0.1240, 0.9753], [0.2500, 0.5000, 0.7500]],
  "crystal_system": "tetragonal",
  "formation_enthalpy_0k_ev_per_atom": 0.107
}

---

Record 4
{
  "formula": "BC2",
  "functional": "PBE",
  "state": "optimized geometry",
  "lattice": [[-2.4136, -4.9879, -2.1595], [4.7789, 3.5356, -0.1715], [1.6195, -2.0021, 2.7247]],
  "species": ["B", "B", "B", "B", "C", "C", "C", "C", "C", "C", "C", "C"],
  "fractional_positions": [[0.8315, 0.6685, 0.2500], [0.1883, 0.3117, 0.2500], [0.3431, 0.6979, 0.9764], [0.8021, 0.1569, 0.5236], [0.1745, 0.8405, 0.5093], [0.5006, 0.4956, 0.5228], [0.9921, 0.5079, 0.7500], [0.4924, 0.0076, 0.2500], [0.6595, 0.3255, 0.9907], [0.3344, 0.1656, 0.7500], [0.0044, 0.9994, 0.9772], [0.6770, 0.8230, 0.7500]],
  "crystal_system": "monoclinic",
  "de_polymorph_ev_per_atom": 0.066,
  "formation_enthalpy_0k_ev_per_atom": 0.306
}

---

The records above yield V values of 21.936; 19.372; 20.943; 6.411 Å³ per atom, respectively.